Below is Pr9ThIn2 after structural relaxation, with properties calculated at the PBE level.

POSCAR file:
```
Pr9ThIn2
1.0
5.066 0.000 0.000
0.000 5.066 0.000
0.000 0.000 15.328
Pr Th In
9 1 2
Cartesian
0.000 0.000 0.000
0.000 0.000 5.190
0.000 0.000 10.138
0.000 2.533 2.604
0.000 2.533 7.664
0.000 2.533 12.724
2.533 0.000 2.604
2.533 0.000 7.664
2.533 0.000 12.724
2.533 2.533 0.000
2.533 2.533 5.165
2.533 2.533 10.163
```

Properties
theoretical density = 7302 kg/m3
formation energy = -0.158 eV per atom
energy = -4.82 eV per atom
DOS(E_F) = 16.12 states/eV/f.u.
crystal system = tetragonal
calculated volume = 32.8 A^3/atom

=====

Below is Pr3ThIn4 after structural relaxation, with properties calculated at the PBE level.

POSCAR file:
```
Pr3ThIn4
1.0
3.610 0.000 0.000
0.000 3.610 0.000
0.000 0.000 17.962
Pr Th In
3 1 4
Cartesian
0.000 0.000 0.000
0.000 0.000 4.484
0.000 0.000 13.478
0.000 0.000 8.981
1.805 1.805 2.243
1.805 1.805 6.741
1.805 1.805 11.221
1.805 1.805 15.718
```

Properties
theoretical density = 7903 kg/m3
formation energy = -0.433 eV per atom
energy = -4.52 eV per atom
DOS(E_F) = 7.02 states/eV/f.u.
crystal system = tetragonal
calculated volume = 29.3 A^3/atom

=====

Below is Pr2ThIn after structural relaxation, with properties calculated at the PBE level.

POSCAR file:
```
Pr2ThIn
1.0
7.936 0.000 0.000
0.000 7.936 0.000
0.000 0.000 7.936
Pr Th In
8 4 4
Cartesian
1.984 1.984 1.984
1.984 1.984 5.952
1.984 5.952 1.984
1.984 5.952 5.952
5.952 1.984 1.984
5.952 1.984 5.952
5.952 5.952 1.984
5.952 5.952 5.952
0.000 0.000 0.000
0.000 3.968 3.968
3.968 0.000 3.968
3.968 3.968 0.000
0.000 0.000 3.968
0.000 3.968 0.000
3.968 0.000 0.000
3.968 3.968 3.968
```

Properties
theoretical density = 8354 kg/m3
ΔE to the lowest computed polymorph = 174 meV/atom
formation energy = -0.042 eV per atom
energy = -4.97 eV per atom
DOS(E_F) = 7.02 states/eV/f.u.
crystal system = cubic
calculated volume = 31.2 A^3/atom